Ni2PdPtO6: relaxed, PBE with a Hubbard U.

abc: 5.770 5.770 3.991
angles: 90.00 90.00 90.00
Space group P4mm (No. 99)
Symmetry-distinct sites (fractional):
Ni: 0.000 0.500 0.000 (multiplicity 2)
Pd: 0.000 0.000 0.793 (multiplicity 1)
Pt: 0.500 0.500 0.818 (multiplicity 1)
O: 0.000 0.000 0.306 (multiplicity 1)
O: 0.255 0.255 0.904 (multiplicity 4)
O: 0.500 0.500 0.336 (multiplicity 1)

Properties
Raw total energy   -4.78 eV per atom
Calculated volume   132.8 Å³/f.u.